# 1
A relaxed structure of NbTlS4, computed with PBE.

Summary:
Energy relative to the lowest polymorph listed for this composition   0 meV per atom
Energy relative to the elements, uncorrected   -349 kJ/mol of formula units
Spin magnetization   0.000 μB per formula unit
Total DFT energy (no corrections)   -5.4277 eV/atom

Cell: 6.575 7.778 7.934 Å, 60.65 88.98 87.92°
Element x y z (fractional)
S (0.364, 0.300, 0.573)
S (0.479, 0.779, 0.015)
S (0.864, 0.874, 0.427)
S (0.521, 0.221, 0.985)
S (0.636, 0.700, 0.427)
S (0.979, 0.794, 0.985)
S (0.136, 0.126, 0.573)
S (0.021, 0.206, 0.015)
Nb (0.750, 0.945, 0.111)
Nb (0.250, 0.055, 0.889)
Tl (0.750, 0.368, 0.264)
Tl (0.250, 0.632, 0.736)

---

# 2
A relaxed structure of Nb2TlS, computed with PBE.

Summary:
Energy relative to the lowest polymorph listed for this composition   0 meV per atom
Energy relative to the elements, uncorrected   100 kJ/mol of formula units
Spin magnetization   0.000 μB per formula unit
D(E_F)   1.3706 states/eV per atom
Total DFT energy (no corrections)   -6.3996 eV/atom

Cell: 4.676 4.676 4.676 Å, 60.00 60.00 60.00°
Element x y z (fractional)
Tl (0.500, 0.500, 0.500)
S (0.000, 0.000, 0.000)
Nb (0.750, 0.750, 0.750)
Nb (0.250, 0.250, 0.250)

---

# 3
A relaxed structure of NbTlS2, computed with PBE.

Summary:
Energy relative to the elements, uncorrected   59 kJ/mol of formula units
Spin magnetization   1.475 μB per formula unit
D(E_F)   0.7701 states/eV per atom
Total DFT energy (no corrections)   -5.0192 eV/atom

Cell: 6.848 6.848 5.838 Å, 54.09 54.09 90.00°
Each line ends with the local moment (μB).
Element x y z (fractional)
Tl (0.250, 0.750, 0.500)  0.03
Tl (0.750, 0.250, 0.500)  0.03
S (0.750, 0.250, 0.000)  -0.03
S (0.250, 0.750, 0.000)  -0.03
S (0.750, 0.750, 0.000)  -0.02
S (0.250, 0.250, 0.000)  -0.02
Nb (0.250, 0.250, 0.500)  1.24
Nb (0.750, 0.750, 0.500)  1.24

---

# 4
A relaxed structure of NbTlS2, computed with PBE.

Summary:
Energy relative to the elements, uncorrected   -165 kJ/mol of formula units
Spin magnetization   0.000 μB per formula unit
D(E_F)   0.1128 states/eV per atom
Total DFT energy (no corrections)   -5.6011 eV/atom

Cell: 15.255 5.727 6.863 Å, 90.00 136.38 90.00°
Element x y z (fractional)
Tl (0.428, 0.967, 0.175)
Tl (0.928, 0.533, 0.675)
Tl (0.572, 0.033, 0.825)
Tl (0.072, 0.467, 0.325)
S (0.095, 0.034, 0.855)
S (0.905, 0.966, 0.145)
S (0.758, 0.488, 0.051)
S (0.242, 0.512, 0.949)
S (0.405, 0.534, 0.645)
S (0.742, 0.988, 0.449)
S (0.595, 0.466, 0.355)
S (0.258, 0.012, 0.551)
Nb (0.772, 0.271, 0.777)
Nb (0.228, 0.729, 0.223)
Nb (0.272, 0.229, 0.277)
Nb (0.728, 0.771, 0.723)

---

# 5
A relaxed structure of NbTlS4, computed with PBE.

Summary:
Energy relative to the lowest polymorph listed for this composition   70 meV per atom
Energy relative to the elements, uncorrected   -309 kJ/mol of formula units
Spin magnetization   0.000 μB per formula unit
Total DFT energy (no corrections)   -5.3574 eV/atom

Cell: 6.681 7.532 8.050 Å, 117.90 98.28 90.00°
Element x y z (fractional)
S (0.000, 0.278, 0.000)
S (0.234, 0.730, 0.461)
S (0.497, 0.196, 0.854)
S (0.766, 0.270, 0.539)
S (0.503, 0.342, 0.146)
S (0.503, 0.804, 0.146)
S (0.497, 0.658, 0.854)
S (0.000, 0.722, 0.000)
Tl (0.201, 0.165, 0.331)
Tl (0.799, 0.835, 0.669)
Nb (0.239, 0.576, 0.152)
Nb (0.761, 0.424, 0.848)

---

# 6
A relaxed structure of U3NbTl3S8, computed with PBE.

Summary:
Energy relative to the elements, uncorrected   -1474 kJ/mol of formula units
Spin magnetization   10.000 μB per formula unit
D(E_F)   0.8701 states/eV per atom
Total DFT energy (no corrections)   -6.6220 eV/atom

Cell: 7.720 7.720 8.978 Å, 115.49 90.00 120.00°
Each line ends with the local moment (μB).
Element x y z (fractional)
S (0.778, 0.556, 0.308)  -0.05
S (0.748, 0.970, 0.692)  -0.05
S (0.734, 0.468, 0.702)  -0.06
S (0.778, 0.030, 0.308)  -0.05
S (0.222, 0.970, 0.692)  -0.05
S (0.222, 0.444, 0.692)  -0.05
S (0.252, 0.030, 0.308)  -0.05
S (0.266, 0.532, 0.298)  -0.06
Nb (0.000, 0.000, 0.500)  1.40
Tl (0.000, 0.500, 0.000)  0.02
Tl (0.000, 0.000, 0.000)  0.02
Tl (0.500, 0.500, 0.000)  0.02
U (0.000, 0.500, 0.500)  2.47
U (0.500, 0.000, 0.500)  2.47
U (0.500, 0.500, 0.500)  2.47

---

Theoretical density? In order: 3999 9700 7847 5803 4001 6923 kg/m3.